A plane-wave DFT calculation with PBE-GGA was carried out for a geometry-optimized Er2ZrTe structure.

a = 3.7930 Å, b = 3.7930 Å, c = 7.3650 Å
α = 90.00°, β = 90.00°, γ = 90.00°
Last column: nearest neighbours and their distance in Å.
Sites, in units of the cell vectors:
Er1 0.0000 0.0000 0.2398  4 Te 3.21, 4 Zr 3.30, 1 Er 3.53
Er2 0.0000 0.0000 0.7602  4 Te 3.21, 4 Zr 3.30, 1 Er 3.53
Zr1 0.5000 0.5000 0.5000  8 Er 3.30, 2 Te 3.68
Te1 0.5000 0.5000 0.0000  8 Er 3.21

Calculated values
Crystal system: tetragonal
Density of states at the Fermi level in states/eV/atom: 1.306
Formation energy from raw total energies in meV per atom: -478
E above lowest polymorph in eV/atom: 0.000

---

A plane-wave DFT calculation with PBE-GGA was carried out for a geometry-optimized NpV2Ni structure.

a = 4.4944 Å, b = 4.4944 Å, c = 2.8146 Å
α = 90.00°, β = 90.00°, γ = 90.00°
Last column: nearest neighbours and their distance in Å.
Sites, in units of the cell vectors:
Np1 0.0000 0.0000 0.0000  8 V 2.65, 2 Np 2.81
V1 0.0000 0.5000 0.5000  4 Ni 2.65, 4 Np 2.65, 2 V 2.81
V2 0.5000 0.0000 0.5000  4 Ni 2.65, 4 Np 2.65, 2 V 2.81
Ni1 0.5000 0.5000 0.0000  8 V 2.65, 2 Ni 2.81

Calculated values
Crystal system: tetragonal
Energy relative to the elements in eV per atom: 0.20
Density of states at the Fermi level in states/eV/atom: 1.738
E above lowest polymorph in eV/atom: 0.000

---

A plane-wave DFT calculation with PBE-GGA was carried out for a geometry-optimized RbPdPb structure.

a = 4.6686 Å, b = 4.6686 Å, c = 5.7348 Å
α = 90.00°, β = 90.00°, γ = 120.00°
Last column: nearest neighbours and their distance in Å.
Sites, in units of the cell vectors:
Rb1 0.0000 0.0000 0.0000  6 Pb 3.94, 6 Pd 3.94
Pd1 0.6667 0.3333 0.5000  3 Pb 2.70
Pb1 0.3333 0.6667 0.5000  3 Pd 2.70

Calculated values
Crystal system: hexagonal
Energy relative to the elements in eV per atom: -0.07
Density of states at the Fermi level in states/eV/atom: 0.934
E above lowest polymorph in eV/atom: 0.162

---

A plane-wave DFT calculation with PBE-GGA was carried out for a geometry-optimized K3Np2AgS6 structure.

a = 6.9869 Å, b = 6.9869 Å, c = 7.6940 Å
α = 98.61°, β = 98.61°, γ = 120.04°
Last column: nearest neighbours and their distance in Å.
Sites, in units of the cell vectors:
K1 0.0000 0.0000 0.0000  6 S 3.11-3.25
K2 0.3422 0.6578 0.0000  6 S 3.15-3.25
K3 0.6578 0.3422 0.0000  6 S 3.15-3.25
Np1 0.1674 0.8326 0.5000  6 S 2.70
Np2 0.8326 0.1674 0.5000  6 S 2.70
Ag1 0.5000 0.5000 0.5000  6 S 2.86-2.90
S1 0.0770 0.4325 0.2968  2 Np 2.70, 1 Ag 2.90
S2 0.2138 0.2138 0.6992  2 Np 2.70, 1 Ag 2.86
S3 0.4325 0.0770 0.2968  2 Np 2.70, 1 Ag 2.90
S4 0.5675 0.9230 0.7032  2 Np 2.70, 1 Ag 2.90
S5 0.7862 0.7862 0.3008  2 Np 2.70, 1 Ag 2.86
S6 0.9230 0.5675 0.7032  2 Np 2.70, 1 Ag 2.90

Calculated values
Crystal system: monoclinic
Density of states at the Fermi level in states/eV/atom: 1.188
Formation energy from raw total energies in meV per atom: -1188

---

A plane-wave DFT calculation with PBE-GGA was carried out for a geometry-optimized Cs5K12Cl3 structure.

a = 21.3861 Å, b = 21.3861 Å, c = 21.3861 Å
α = 109.47°, β = 109.47°, γ = 109.47°
Last column: nearest neighbours and their distance in Å.
Sites, in units of the cell vectors:
Cs1 0.0000 0.0000 0.0000  6 K 4.58
Cs2 0.0000 0.0000 0.5000  6 K 4.58
Cs3 0.0000 0.5000 0.0000  6 K 4.58
Cs4 0.0000 0.5000 0.5000  6 K 4.58
Cs5 0.1250 0.7500 0.8750  4 K 5.18
Cs6 0.1250 0.8750 0.2500  4 K 5.18
Cs7 0.2500 0.1250 0.8750  4 K 5.18
Cs8 0.2500 0.6250 0.3750  4 K 5.18
Cs9 0.3750 0.2500 0.6250  4 K 5.18
Cs10 0.3750 0.6250 0.7500  4 K 5.18
Cs11 0.5000 0.0000 0.0000  6 K 4.58
Cs12 0.5000 0.0000 0.5000  6 K 4.58
Cs13 0.5000 0.5000 0.0000  6 K 4.58
Cs14 0.5000 0.5000 0.5000  6 K 4.58
Cs15 0.6250 0.3750 0.2500  4 K 5.18
Cs16 0.6250 0.7500 0.3750  4 K 5.18
Cs17 0.7500 0.3750 0.6250  4 K 5.18
Cs18 0.7500 0.8750 0.1250  4 K 5.18
Cs19 0.8750 0.1250 0.7500  4 K 5.18
Cs20 0.8750 0.2500 0.1250  4 K 5.18
K1 0.0061 0.6280 0.3659  1 Cl 3.03
K2 0.0061 0.8781 0.6402  1 Cl 3.03
K3 0.1219 0.2621 0.1280  1 Cl 3.03
K4 0.1219 0.3598 0.9939  1 Cl 3.03
K5 0.1280 0.1219 0.2621  1 Cl 3.03
K6 0.1280 0.5061 0.8659  1 Cl 3.03
K7 0.1341 0.7621 0.6402  1 Cl 3.03
K8 0.1341 0.8720 0.4939  1 Cl 3.03
K9 0.1402 0.2621 0.6341  1 Cl 3.03
K10 0.1402 0.3781 0.5061  1 Cl 3.03
K11 0.2379 0.3598 0.8659  1 Cl 3.03
K12 0.2379 0.3781 0.3720  1 Cl 3.03
K13 0.2621 0.1280 0.1219  1 Cl 3.03
K14 0.2621 0.6341 0.1402  1 Cl 3.03
K15 0.3598 0.8659 0.2379  1 Cl 3.03
K16 0.3598 0.9939 0.1219  1 Cl 3.03
K17 0.3659 0.0061 0.6280  1 Cl 3.03
K18 0.3659 0.8598 0.7379  1 Cl 3.03
K19 0.3720 0.2379 0.3781  1 Cl 3.03
K20 0.3720 0.6341 0.9939  1 Cl 3.03
K21 0.3781 0.3720 0.2379  1 Cl 3.03
K22 0.3781 0.5061 0.1402  1 Cl 3.03
K23 0.4939 0.1341 0.8720  1 Cl 3.03
K24 0.4939 0.8598 0.6219  1 Cl 3.03
K25 0.5061 0.1402 0.3781  1 Cl 3.03
K26 0.5061 0.8659 0.1280  1 Cl 3.03
K27 0.6219 0.4939 0.8598  1 Cl 3.03
K28 0.6219 0.6280 0.7621  1 Cl 3.03
K29 0.6280 0.3659 0.0061  1 Cl 3.03
K30 0.6280 0.7621 0.6219  1 Cl 3.03
K31 0.6341 0.1402 0.2621  1 Cl 3.03
K32 0.6341 0.9939 0.3720  1 Cl 3.03
K33 0.6402 0.0061 0.8781  1 Cl 3.03
K34 0.6402 0.1341 0.7621  1 Cl 3.03
K35 0.7379 0.3659 0.8598  1 Cl 3.03
K36 0.7379 0.8720 0.8781  1 Cl 3.03
K37 0.7621 0.6219 0.6280  1 Cl 3.03
K38 0.7621 0.6402 0.1341  1 Cl 3.03
K39 0.8598 0.6219 0.4939  1 Cl 3.03
K40 0.8598 0.7379 0.3659  1 Cl 3.03
K41 0.8659 0.1280 0.5061  1 Cl 3.03
K42 0.8659 0.2379 0.3598  1 Cl 3.03
K43 0.8720 0.4939 0.1341  1 Cl 3.03
K44 0.8720 0.8781 0.7379  1 Cl 3.03
K45 0.8781 0.6402 0.0061  1 Cl 3.03
K46 0.8781 0.7379 0.8720  1 Cl 3.03
K47 0.9939 0.1219 0.3598  1 Cl 3.03
K48 0.9939 0.3720 0.6341  1 Cl 3.03
Cl1 0.1250 0.2500 0.3750  4 K 3.03
Cl2 0.1250 0.3750 0.7500  4 K 3.03
Cl3 0.2500 0.3750 0.1250  4 K 3.03
Cl4 0.2500 0.8750 0.6250  4 K 3.03
Cl5 0.3750 0.1250 0.2500  4 K 3.03
Cl6 0.3750 0.7500 0.1250  4 K 3.03
Cl7 0.6250 0.2500 0.8750  4 K 3.03
Cl8 0.6250 0.8750 0.7500  4 K 3.03
Cl9 0.7500 0.1250 0.3750  4 K 3.03
Cl10 0.7500 0.6250 0.8750  4 K 3.03
Cl11 0.8750 0.6250 0.2500  4 K 3.03
Cl12 0.8750 0.7500 0.6250  4 K 3.03

Calculated values
Crystal system: cubic
Density of states at the Fermi level in states/eV/atom: 0.755
Formation energy from raw total energies in meV per atom: -390

---

A plane-wave DFT calculation with PBE-GGA was carried out for a geometry-optimized FePt2Au2 structure.

a = 7.2619 Å, b = 7.2619 Å, c = 7.2619 Å
α = 150.40°, β = 150.40°, γ = 42.35°
Last column: nearest neighbours and their distance in Å.
Sites, in units of the cell vectors:
Fe1 0.0000 0.0000 0.0000  8 Pt 2.91
Pt1 0.4064 0.4064 0.0000  1 Pt 2.53, 4 Au 2.82
Pt2 0.5936 0.5936 0.0000  1 Pt 2.53, 4 Au 2.82
Au1 0.2500 0.7500 0.5000  4 Au 2.62, 4 Pt 2.82
Au2 0.7500 0.2500 0.5000  4 Au 2.62, 4 Pt 2.82

Calculated values
Crystal system: tetragonal
Energy relative to the elements in eV per atom: 0.43
Density of states at the Fermi level in states/eV/atom: 0.754
E above lowest polymorph in eV/atom: 0.259

---

A plane-wave DFT calculation with PBE-GGA was carried out for a geometry-optimized Ga5Pd2Au2 structure.

a = 8.9001 Å, b = 8.9001 Å, c = 8.9001 Å
α = 62.91°, β = 139.93°, γ = 133.64°
Last column: nearest neighbours and their distance in Å.
Sites, in units of the cell vectors:
Ga1 0.1569 0.0739 0.2308  2 Pd 2.52-2.58, 2 Au 2.61-2.73
Ga2 0.1569 0.4261 0.5830  2 Pd 2.52-2.58, 2 Au 2.61-2.73
Ga3 0.2294 0.0802 0.6491  2 Pd 2.53, 2 Au 2.60-2.72
Ga4 0.4311 0.5802 0.3509  2 Pd 2.53, 2 Au 2.60-2.72
Ga5 0.4841 0.8005 0.0058  2 Pd 2.56-2.59, 3 Au 2.65-2.80, 1 Ga 2.70
Ga6 0.4841 0.9783 0.1836  2 Pd 2.56-2.59, 3 Au 2.65-2.80, 1 Ga 2.70
Ga7 0.7947 0.3005 0.8164  2 Pd 2.56-2.59, 3 Au 2.65-2.80, 1 Ga 2.70
Ga8 0.7947 0.4783 0.9942  2 Pd 2.56-2.59, 3 Au 2.65-2.80, 1 Ga 2.70
Ga9 0.8431 0.5739 0.4170  2 Pd 2.52-2.58, 2 Au 2.61-2.73
Ga10 0.8431 0.9261 0.7692  2 Pd 2.52-2.58, 2 Au 2.61-2.73
Pd1 0.2975 0.4133 0.0672  5 Ga 2.52-2.59, 1 Pd 2.79
Pd2 0.2975 0.7303 0.3842  5 Ga 2.52-2.59, 1 Pd 2.79
Pd3 0.3461 0.2303 0.9328  5 Ga 2.52-2.59, 1 Pd 2.79
Pd4 0.3461 0.9133 0.6158  5 Ga 2.52-2.59, 1 Pd 2.79
Au1 0.6926 0.1926 0.5000  6 Ga 2.61-2.73
Au2 0.6926 0.6926 0.0000  6 Ga 2.61-2.73
Au3 0.9489 0.2025 0.2464  8 Ga 2.60-2.87
Au4 0.9560 0.7025 0.7536  8 Ga 2.60-2.87

Calculated values
Crystal system: orthorhombic
Energy relative to the elements in eV per atom: -0.32
Density of states at the Fermi level in states/eV/atom: 0.450

---

A plane-wave DFT calculation with PBE-GGA was carried out for a geometry-optimized KScTe2 structure.

a = 4.1927 Å, b = 4.1927 Å, c = 8.5867 Å
α = 90.00°, β = 90.00°, γ = 90.00°
Last column: nearest neighbours and their distance in Å.
Sites, in units of the cell vectors:
K1 0.0000 0.0000 0.0000  5 Te 3.37-3.61
Sc1 0.5000 0.5000 0.5096  1 Te 2.61
Te1 0.0000 0.0000 0.4209  4 Sc 3.06
Te2 0.5000 0.5000 0.8136  1 Sc 2.61

Calculated values
Crystal system: tetragonal
Density of states at the Fermi level in states/eV/atom: 0.377
Formation energy from raw total energies in meV per atom: -971